Record 1
# GGA-PBE CsK2SeO4, optimized geometry
# ρ, g/cm³: 3.51
# Total energy, eV per atom: -4.590
# Total magnetic moment, Bohr magnetons per cell: 4.01
data_CsK2SeO4
_chemical_formula_sum 'Cs4 K8 Se4 O16'
_symmetry_space_group_name_H-M 'F m m 2'
_symmetry_Int_Tables_number 42
_symmetry_space_group_name_Hall 'F 2 -2'
_cell_length_a 8.308
_cell_length_b 10.027
_cell_length_c 8.047
_cell_angle_alpha 90.00
_cell_angle_beta 90.00
_cell_angle_gamma 90.00
loop_
_atom_site_label
_atom_site_fract_x
_atom_site_fract_y
_atom_site_fract_z
_atom_site_occupancy
Cs1 0.000 0.000 0.000 1
K1 0.250 0.250 0.238 1
Se1 0.000 0.000 0.523 1
O1 0.000 0.181 0.461 1
O2 0.164 0.000 0.656 1

Record 2
# GGA-PBE LaBeTc, optimized geometry
# Energy relative to the lowest polymorph listed for this composition, meV/atom: 82.9
# Formation energy from the elements, eV per formula unit: 0.51
# ρ, g/cm³: 6.92
# Total magnetic moment, Bohr magnetons per cell: 0.00
data_LaBeTc
_chemical_formula_sum 'La1 Be1 Tc1'
_symmetry_space_group_name_H-M 'P -6 m 2'
_symmetry_Int_Tables_number 187
_symmetry_space_group_name_Hall 'P -6 2'
_cell_length_a 4.0420
_cell_length_b 4.0420
_cell_length_c 4.1733
_cell_angle_alpha 90.00
_cell_angle_beta 90.00
_cell_angle_gamma 120.00
loop_
_atom_site_label
_atom_site_fract_x
_atom_site_fract_y
_atom_site_fract_z
_atom_site_occupancy
La1 0.0000 0.0000 0.0000 1
Be1 0.6667 0.3333 0.5000 1
Tc1 0.3333 0.6667 0.5000 1

Record 3
# GGA-PBE CsErMn2Br8, optimized geometry
# ρ, g/cm³: 3.84
# Total energy, eV per atom: -4.363
# Total magnetic moment, Bohr magnetons per cell: 30.00
data_CsErMn2Br8
_chemical_formula_sum 'Cs3 Er3 Mn6 Br24'
_symmetry_space_group_name_H-M 'R 3 2'
_symmetry_Int_Tables_number 155
_symmetry_space_group_name_Hall 'R 3 2"'
_cell_length_a 6.8436
_cell_length_b 6.8436
_cell_length_c 33.5994
_cell_angle_alpha 90.00
_cell_angle_beta 90.00
_cell_angle_gamma 120.00
loop_
_atom_site_label
_atom_site_fract_x
_atom_site_fract_y
_atom_site_fract_z
_atom_site_occupancy
Cs1 0.0000 0.0000 0.0000 1
Er1 0.0000 0.0000 0.5000 1
Mn1 0.0000 0.0000 0.2436 1
Br1 0.0000 0.0000 0.3157 1
Br2 0.0118 0.3582 0.2206 1

Record 4
# GGA-PBE Sm3Dy3Ho8, optimized geometry
# Formation energy from the elements, eV per formula unit: 1.55
# ρ, g/cm³: 8.31
# Total magnetic moment, Bohr magnetons per cell: 0.00
data_Sm3Dy3Ho8
_chemical_formula_sum 'Sm6 Dy6 Ho16'
_symmetry_space_group_name_H-M 'I m m m'
_symmetry_Int_Tables_number 71
_symmetry_space_group_name_Hall '-I 2 2'
_cell_length_a 5.618
_cell_length_b 10.769
_cell_length_c 14.921
_cell_angle_alpha 90.00
_cell_angle_beta 90.00
_cell_angle_gamma 90.00
loop_
_atom_site_label
_atom_site_fract_x
_atom_site_fract_y
_atom_site_fract_z
_atom_site_occupancy
Sm1 0.000 0.000 0.000 1
Sm2 0.000 0.500 0.318 1
Dy1 0.000 0.000 0.500 1
Dy2 0.000 0.296 0.500 1
Ho1 0.000 0.160 0.279 1
Ho2 0.000 0.342 0.103 1

Record 5
# GGA-PBE SrTm2Al9, optimized geometry
# Formation energy from the elements, eV per formula unit: -3.82
# ρ, g/cm³: 4.60
# Total magnetic moment, Bohr magnetons per cell: 0.00
data_SrTm2Al9
_chemical_formula_sum 'Sr3 Tm6 Al27'
_symmetry_space_group_name_H-M 'R -3 m'
_symmetry_Int_Tables_number 166
_symmetry_space_group_name_Hall '-R 3 2"'
_cell_length_a 5.6191
_cell_length_b 5.6191
_cell_length_c 26.4437
_cell_angle_alpha 90.00
_cell_angle_beta 90.00
_cell_angle_gamma 120.00
loop_
_atom_site_label
_atom_site_fract_x
_atom_site_fract_y
_atom_site_fract_z
_atom_site_occupancy
Sr1 0.0000 0.0000 0.0000 1
Tm1 0.0000 0.0000 0.1424 1
Al1 0.0000 0.0000 0.3357 1
Al2 0.0000 0.0000 0.5000 1
Al3 0.0078 0.5039 0.9146 1

Record 6
# GGA-PBE LaBe2Zn, optimized geometry
# Energy relative to the lowest polymorph listed for this composition, meV/atom: 321.6
# Formation energy from the elements, eV per formula unit: 1.05
# ρ, g/cm³: 5.63
# Total magnetic moment, Bohr magnetons per cell: 0.00
data_LaBe2Zn
_chemical_formula_sum 'La1 Be2 Zn1'
_symmetry_space_group_name_H-M 'P 4/m m m'
_symmetry_Int_Tables_number 123
_symmetry_space_group_name_Hall '-P 4 2'
_cell_length_a 3.084
_cell_length_b 3.084
_cell_length_c 6.891
_cell_angle_alpha 90.00
_cell_angle_beta 90.00
_cell_angle_gamma 90.00
loop_
_atom_site_label
_atom_site_fract_x
_atom_site_fract_y
_atom_site_fract_z
_atom_site_occupancy
La1 0.000 0.000 0.000 1
Be1 0.500 0.500 0.328 1
Zn1 0.000 0.000 0.500 1

Record 7
# GGA-PBE LiDyYOs, optimized geometry
# Formation energy from the elements, eV per formula unit: -0.89
# ρ, g/cm³: 8.93
# Total magnetic moment, Bohr magnetons per cell: 0.00
data_LiDyYOs
_chemical_formula_sum 'Li4 Dy4 Y4 Os4'
_symmetry_space_group_name_H-M 'F -4 3 m'
_symmetry_Int_Tables_number 216
_symmetry_space_group_name_Hall 'F -4 2 3'
_cell_length_a 6.935
_cell_length_b 6.935
_cell_length_c 6.935
_cell_angle_alpha 90.00
_cell_angle_beta 90.00
_cell_angle_gamma 90.00
loop_
_atom_site_label
_atom_site_fract_x
_atom_site_fract_y
_atom_site_fract_z
_atom_site_occupancy
Li1 0.000 0.000 0.000 1
Dy1 0.250 0.250 0.750 1
Y1 0.250 0.250 0.250 1
Os1 0.000 0.000 0.500 1

Record 8
# GGA-PBE ThSb2Rh, optimized geometry
# ρ, g/cm³: 9.31
# Total energy, eV per atom: -5.877
# Total magnetic moment, Bohr magnetons per cell: 0.00
data_ThSb2Rh
_chemical_formula_sum 'Th3 Sb6 Rh3'
_symmetry_space_group_name_H-M 'R -3 m'
_symmetry_Int_Tables_number 166
_symmetry_space_group_name_Hall '-R 3 2"'
_cell_length_a 3.4188
_cell_length_b 3.4188
_cell_length_c 30.5788
_cell_angle_alpha 90.00
_cell_angle_beta 90.00
_cell_angle_gamma 120.00
loop_
_atom_site_label
_atom_site_fract_x
_atom_site_fract_y
_atom_site_fract_z
_atom_site_occupancy
Th1 0.0000 0.0000 0.0000 1
Sb1 0.0000 0.0000 0.1061 1
Rh1 0.0000 0.0000 0.5000 1